1.
DFT (PBE) results for Ac2ThMgTe5 after structural relaxation.

abc: 4.5004 10.0301 13.9486
angles: 90.00 90.00 102.96
Fractional coordinates of all 18 atoms:
Ac 0.8654 0.7308 0.8125
Ac 0.1128 0.2257 0.6873
Ac 0.1346 0.2692 0.3125
Ac 0.8872 0.7743 0.1873
Th 0.7991 0.5983 0.5090
Th 0.2009 0.4017 0.0090
Mg 0.5556 0.1112 0.9521
Mg 0.4444 0.8888 0.4521
Te 0.3636 0.7272 0.0029
Te 0.6880 0.3761 0.8473
Te 0.4946 0.9892 0.7762
Te 0.2877 0.5753 0.6682
Te 0.9539 0.9078 0.5684
Te 0.6364 0.2728 0.5029
Te 0.3120 0.6239 0.3473
Te 0.5054 0.0108 0.2762
Te 0.7123 0.4247 0.1682
Te 0.0461 0.0922 0.0684

Results
total magnetic moment = 0.01 μB per cell
E_form (uncorrected) = -1.246 eV per atom

=====

2.
DFT (PBE) results for Ac2TmMgTe5 after structural relaxation.

abc: 4.4903 10.0240 13.7265
angles: 90.00 90.00 102.94
Fractional coordinates of all 18 atoms:
Ac 0.8673 0.7346 0.8089
Ac 0.1144 0.2288 0.6846
Ac 0.1327 0.2654 0.3089
Ac 0.8856 0.7712 0.1846
Tm 0.7984 0.5968 0.5146
Tm 0.2016 0.4032 0.0146
Mg 0.5573 0.1147 0.9519
Mg 0.4427 0.8853 0.4519
Te 0.3574 0.7148 0.0007
Te 0.6905 0.3810 0.8576
Te 0.4960 0.9921 0.7747
Te 0.2863 0.5727 0.6655
Te 0.9505 0.9011 0.5655
Te 0.6426 0.2852 0.5007
Te 0.3095 0.6190 0.3576
Te 0.5040 0.0079 0.2747
Te 0.7137 0.4273 0.1655
Te 0.0495 0.0989 0.0655

Results
total magnetic moment = 0.00 μB per cell
E_form (uncorrected) = -1.347 eV per atom

=====

3.
DFT (PBE) results for AcThMg after structural relaxation.

abc: 3.6873 3.6873 8.7402
angles: 90.00 90.00 120.00
Fractional coordinates of all 3 atoms:
Ac 0.3333 0.6667 0.6645
Mg 0.6667 0.3333 0.3237
Th 0.0000 0.0000 0.0118

Results
total magnetic moment = 0.00 μB per cell
excess energy over the best structure of this formula in the dataset = 77.4 meV/atom
ΔE_f = 0.162 eV per atom